Record 1
The following is a DFT calculation (PBE-GGA) of crystalline TmNiPtPb at its relaxed geometry.

extended XYZ file:
```
16
Lattice="6.740 0.000 0.000 0.000 6.740 0.000 0.000 0.000 6.740" Properties=species:S:1:pos:R:3 pbc="T T T"
Tm 0.000 0.000 0.000
Tm 0.000 3.370 3.370
Tm 3.370 0.000 3.370
Tm 3.370 3.370 0.000
Ni 1.685 1.685 1.685
Ni 1.685 5.055 5.055
Ni 5.055 1.685 5.055
Ni 5.055 5.055 1.685
Pt 1.685 1.685 5.055
Pt 1.685 5.055 1.685
Pt 5.055 1.685 1.685
Pt 5.055 5.055 5.055
Pb 0.000 0.000 3.370
Pb 0.000 3.370 0.000
Pb 3.370 0.000 0.000
Pb 3.370 3.370 3.370
```

Properties
* electronic total energy: -5.499 eV per atom

Record 2
The following is a DFT calculation (PBE-GGA) of crystalline CaSm4Al2 at its relaxed geometry.

extended XYZ file:
```
7
Lattice="0.000 5.379 5.781 3.507 0.000 5.781 3.507 5.379 0.000" Properties=species:S:1:pos:R:3 pbc="T T T"
Ca 0.000 0.000 0.000
Sm 1.754 2.690 2.890
Sm 3.507 3.652 5.781
Sm 3.507 7.107 5.781
Sm 5.261 8.069 8.671
Al 3.507 5.379 3.134
Al 3.507 5.379 8.427
```

Properties
* electronic total energy: -4.028 eV per atom

Record 3
The following is a DFT calculation (PBE-GGA) of crystalline Li2ErGaO4 at its relaxed geometry.

extended XYZ file:
```
8
Lattice="5.318 0.000 0.000 0.000 3.176 0.000 -1.805 0.000 5.075" Properties=species:S:1:pos:R:3 pbc="T T T"
Li 0.000 0.000 0.000
Li -0.903 1.588 2.537
Er 1.757 0.000 2.537
Ga 2.659 1.588 0.000
O 0.993 1.588 1.197
O 0.024 0.000 3.944
O 3.489 0.000 1.131
O 2.520 1.588 3.877
```

Properties
* electronic total energy: -6.254 eV per atom
* raw formation energy: -226.5 kJ per mole of atoms

Record 4
The following is a DFT calculation (PBE-GGA) of crystalline Sm2Dy6In3 at its relaxed geometry.

extended XYZ file:
```
11
Lattice="-2.268 2.268 16.787 2.268 -2.268 16.787 2.268 2.268 -16.787" Properties=species:S:1:pos:R:3 pbc="T T T"
Sm 0.000 0.000 1.482
Sm 0.000 0.000 32.092
Dy 2.268 0.000 4.304
Dy 0.000 0.000 7.154
Dy 2.268 0.000 12.483
Dy 0.000 2.268 4.304
Dy 0.000 0.000 26.420
Dy 0.000 2.268 12.483
In 0.000 0.000 10.273
In 0.000 0.000 16.787
In 0.000 0.000 23.301
```

Properties
* electronic total energy: -4.123 eV per atom

Record 5
The following is a DFT calculation (PBE-GGA) of crystalline MnCoIr2 at its relaxed geometry.

extended XYZ file:
```
8
Lattice="8.779 0.000 0.000 0.000 2.701 0.000 -0.854 0.000 4.412" Properties=species:S:1:pos:R:3 pbc="T T T"
Mn 0.000 0.000 0.000
Mn 4.389 1.351 0.000
Co 1.573 0.000 3.333
Co 5.962 1.351 3.333
Ir -0.399 1.351 2.264
Ir 1.995 1.351 1.113
Ir 3.991 0.000 2.264
Ir 6.384 0.000 1.113
```

Properties
* electronic total energy: -8.547 eV per atom

Record 6
The following is a DFT calculation (PBE-GGA) of crystalline AgMo2Au at its relaxed geometry.

extended XYZ file:
```
16
Lattice="6.463 0.000 0.000 0.000 6.463 0.000 0.000 0.000 6.463" Properties=species:S:1:pos:R:3 pbc="T T T"
Ag 0.000 0.000 0.000
Ag 0.000 3.232 3.232
Ag 3.232 0.000 3.232
Ag 3.232 3.232 0.000
Mo 0.000 0.000 3.232
Mo 0.000 3.232 0.000
Mo 1.616 1.616 1.616
Mo 1.616 4.847 4.847
Mo 3.232 0.000 0.000
Mo 3.232 3.232 3.232
Mo 4.847 1.616 4.847
Mo 4.847 4.847 1.616
Au 1.616 1.616 4.847
Au 1.616 4.847 1.616
Au 4.847 1.616 1.616
Au 4.847 4.847 4.847
```

Properties
* electronic total energy: -6.389 eV per atom
* E above lowest polymorph: 0.354 eV/atom

Record 7
The following is a DFT calculation (PBE-GGA) of crystalline SrIn2SiH at its relaxed geometry.

extended XYZ file:
```
5
Lattice="5.740 0.000 0.000 0.000 5.740 0.000 0.000 0.000 3.664" Properties=species:S:1:pos:R:3 pbc="T T T"
Sr 0.000 0.000 0.000
In 0.000 2.870 1.832
In 2.870 0.000 1.832
Si 2.870 2.870 1.832
H 2.870 2.870 0.000
```

Properties
* electronic total energy: -3.034 eV per atom

Record 8
The following is a DFT calculation (PBE-GGA) of crystalline CaPt3Br at its relaxed geometry.

extended XYZ file:
```
5
Lattice="4.842 0.000 0.000 0.000 4.842 0.000 0.000 0.000 4.842" Properties=species:S:1:pos:R:3 pbc="T T T"
Ca 0.000 0.000 0.000
Pt 0.000 2.421 2.421
Pt 2.421 0.000 2.421
Pt 2.421 2.421 0.000
Br 2.421 2.421 2.421
```

Properties
* electronic total energy: -4.017 eV per atom
* E above lowest polymorph: 0.000 eV/atom
* raw formation energy: 33.0 kJ per mole of atoms

Record 9
The following is a DFT calculation (PBE-GGA) of crystalline Li3TmSn2 at its relaxed geometry.

extended XYZ file:
```
12
Lattice="6.962 -2.311 0.000 6.962 2.311 0.000 -4.214 0.000 7.782" Properties=species:S:1:pos:R:3 pbc="T T T"
Li -0.916 0.000 2.972
Li 1.924 0.000 3.538
Li 4.291 0.000 2.432
Li 5.420 0.000 5.351
Li 7.787 0.000 4.244
Li 10.627 0.000 4.810
Tm 1.838 0.000 0.155
Tm 7.873 0.000 7.627
Sn -0.130 0.000 5.701
Sn 2.919 0.000 6.296
Sn 6.792 0.000 1.486
Sn 9.841 0.000 2.082
```

Properties
* electronic total energy: -3.480 eV per atom

Record 10
The following is a DFT calculation (PBE-GGA) of crystalline Tl2Te2S5 at its relaxed geometry.

extended XYZ file:
```
9
Lattice="8.030 -2.659 0.000 8.030 2.659 0.000 -1.709 0.000 6.567" Properties=species:S:1:pos:R:3 pbc="T T T"
Tl 0.314 0.000 1.966
Tl 14.037 0.000 4.602
Te 5.381 0.000 0.531
Te 8.970 0.000 6.036
S 0.980 0.000 6.547
S 5.358 0.000 2.821
S 8.030 0.000 0.000
S 8.994 0.000 3.746
S 13.372 0.000 0.020
```

Properties
* electronic total energy: -3.554 eV per atom
* E above lowest polymorph: 0.024 eV/atom
* raw formation energy: -3.6 kJ per mole of atoms

Record 11
The following is a DFT calculation (PBE-GGA) of crystalline YPI2 at its relaxed geometry.

extended XYZ file:
```
16
Lattice="7.552 0.000 0.000 0.000 7.552 0.000 0.000 0.000 7.552" Properties=species:S:1:pos:R:3 pbc="T T T"
Y 0.000 0.000 0.000
Y 0.000 3.776 3.776
Y 3.776 0.000 3.776
Y 3.776 3.776 0.000
P 0.000 0.000 3.776
P 0.000 3.776 0.000
P 3.776 0.000 0.000
P 3.776 3.776 3.776
I 1.888 1.888 1.888
I 1.888 1.888 5.664
I 1.888 5.664 1.888
I 1.888 5.664 5.664
I 5.664 1.888 1.888
I 5.664 1.888 5.664
I 5.664 5.664 1.888
I 5.664 5.664 5.664
```

Properties
* electronic total energy: -3.887 eV per atom
* raw formation energy: -13.9 kJ per mole of atoms

Record 12
The following is a DFT calculation (PBE-GGA) of crystalline Mn6Sn at its relaxed geometry.

extended XYZ file:
```
14
Lattice="6.053 0.000 0.000 0.000 6.053 0.000 0.000 0.000 6.053" Properties=species:S:1:pos:R:3 pbc="T T T"
Mn 0.000 1.513 3.027
Mn 0.000 3.027 1.513
Mn 0.000 3.027 4.540
Mn 0.000 4.540 3.027
Mn 1.513 0.000 3.027
Mn 1.513 3.027 0.000
Mn 3.027 0.000 1.513
Mn 3.027 0.000 4.540
Mn 3.027 1.513 0.000
Mn 3.027 4.540 0.000
Mn 4.540 0.000 3.027
Mn 4.540 3.027 0.000
Sn 0.000 0.000 0.000
Sn 3.027 3.027 3.027
```

Properties
* electronic total energy: -7.380 eV per atom

Calculated D(E_F) (states/eV/atom), listed in the same order as above: 0.54, 1.43, 0.00, 1.29, 0.96, 0.86, 0.39, 0.39, 0.39, 0.02, 0.91, 1.19